Density functional theory data (PBE-GGA) for Zn2FeAs after structural relaxation.

POSCAR file:
```
Zn2FeAs
1.0
4.699 -0.062 0.688
3.800 2.766 0.688
1.371 0.436 4.704
Zn Fe As
2 1 1
direct
0.983 0.983 0.947
0.747 0.747 0.804
0.244 0.244 0.361
0.526 0.526 0.387
```

Output
DOS at the Fermi energy: 2.09 states/eV/cell
calculated volume: 59.3 Å³/f.u.
spin magnetization: 2.0 μB/f.u.
E_form: 100 meV/atom
space-group type: Cm, No. 8

***

Density functional theory data (PBE-GGA) for LaCdInPt3 after structural relaxation.

POSCAR file:
```
LaCdInPt3
1.0
-1.509 -6.332 -3.744
4.426 1.125 -3.686
1.706 -3.711 5.587
Pt La Cd In
6 2 2 2
direct
0.000 0.263 0.000
0.750 0.853 0.706
0.500 0.737 0.000
0.500 0.263 0.000
0.250 0.147 0.294
0.000 0.737 0.000
0.750 0.349 0.697
0.250 0.651 0.303
0.750 0.093 0.185
0.250 0.907 0.815
0.250 0.362 0.723
0.750 0.638 0.277
```

Output
DOS at the Fermi energy: 5.71 states/eV/cell
calculated volume: 138.1 Å³/f.u.
spin magnetization: 0.0 μB/f.u.
E_form: -494 meV/atom
space-group type: Cmcm, No. 63

***

Density functional theory data (PBE-GGA) for KLiSe2 after structural relaxation.

POSCAR file:
```
KLiSe2
1.0
6.473 0.009 -0.081
5.819 2.836 -0.081
-0.449 -0.104 5.972
Se K Li
2 1 1
direct
0.746 0.746 0.682
0.969 0.969 0.141
0.487 0.487 0.640
0.299 0.299 0.037
```

Output
DOS at the Fermi energy: 1.96 states/eV/cell
calculated volume: 109.2 Å³/f.u.
spin magnetization: 0.0 μB/f.u.
formation energy from raw total energies: -706 meV/atom
space-group type: Cm, No. 8

***

Density functional theory data (PBE-GGA) for Be2NbCu after structural relaxation.

POSCAR file:
```
Be2NbCu
1.0
0.000 2.852 2.852
2.852 0.000 2.852
2.852 2.852 0.000
Cu Be Nb
1 2 1
direct
0.000 0.000 0.000
0.250 0.250 0.250
0.750 0.750 0.750
0.500 0.500 0.500
```

Output
DOS at the Fermi energy: 1.72 states/eV/cell
energy above the lowest structure with this stoichiometry: 144.8 meV/atom
calculated volume: 46.4 Å³/f.u.
spin magnetization: 0.0 μB/f.u.
E_form: 53 meV/atom
space-group type: Fm-3m, No. 225